{
  "formula": "Np2BrCl8",
  "functional": "PBE-GGA",
  "state": "relaxed",
  "lattice": [[7.2772, -4.1746, 0.0000], [7.2772, 4.1746, 0.0000], [-3.0244, 0.0000, 7.3727]],
  "species": ["Np", "Np", "Br", "Cl", "Cl", "Cl", "Cl", "Cl", "Cl", "Cl", "Cl"],
  "fractional_positions": [[0.1997, 0.1997, 0.0011], [0.8003, 0.8003, 0.9989], [0.0000, 0.0000, 0.0000], [0.1311, 0.1311, 0.6672], [0.1659, 0.5417, 0.0011], [0.2689, 0.2689, 0.3352], [0.4583, 0.8341, 0.9989], [0.5417, 0.1659, 0.0011], [0.7311, 0.7311, 0.6648], [0.8341, 0.4583, 0.9989], [0.8689, 0.8689, 0.3328]],
  "magmom_total_mub_per_fu": 5.000,
  "sg": "C2/m, No. 12",
  "e_tot_ev_per_cell": -58.46,
  "dos_at_fermi_per_ev_atom": 1.363
}